Record 1
VASP calculation (PBE) on a relaxed structure of Zr3AlMo.

Results
VASP energy = -7.34 eV/atom
DOS(E_F) = 9.3 states/eV/cell

Geometry as POSCAR:
```
Zr3AlMo
1.0
5.0195 0.0000 0.0000
0.0000 5.0195 0.0000
0.0000 0.0000 5.0195
Zr Al Mo
3 1 1
Direct
0.0000 0.0000 0.5000
0.0000 0.5000 0.0000
0.5000 0.0000 0.0000
0.5000 0.5000 0.5000
0.0000 0.0000 0.0000
```


Record 2
VASP calculation (PBE) on a relaxed structure of ZrAlMo2.

Results
VASP energy = -8.41 eV/atom
DOS(E_F) = 3.7 states/eV/cell

Geometry as POSCAR:
```
ZrAlMo2
1.0
2.7699 0.0000 0.0000
0.0000 2.7699 0.0000
0.0000 0.0000 8.9483
Zr Al Mo
1 1 2
Direct
0.0000 0.0000 0.0000
0.0000 0.0000 0.5000
0.5000 0.5000 0.2761
0.5000 0.5000 0.7239
```


Record 3
VASP calculation (PBE) on a relaxed structure of ZrAlMo2.

Results
VASP energy = -8.57 eV/atom
DOS(E_F) = 2.6 states/eV/cell

Geometry as POSCAR:
```
ZrAlMo2
1.0
3.9289 0.0000 0.0000
0.0000 3.9289 0.0000
0.0000 0.0000 4.4544
Zr Al Mo
1 1 2
Direct
0.0000 0.0000 0.0000
0.5000 0.5000 0.0000
0.0000 0.5000 0.5000
0.5000 0.0000 0.5000
```


Record 4
VASP calculation (PBE) on a relaxed structure of Zr2AlMo.

Results
VASP energy = -7.93 eV/atom
DOS(E_F) = 10.3 states/eV/cell

Geometry as POSCAR:
```
Zr2AlMo
1.0
3.4438 0.0000 0.0000
0.0000 4.7468 0.0000
0.0000 0.0000 9.3929
Zr Al Mo
4 2 2
Direct
0.0000 0.0000 0.0000
0.0000 0.5000 0.2971
0.5000 0.0000 0.2971
0.5000 0.5000 0.0000
0.0000 0.5000 0.7484
0.5000 0.0000 0.7484
0.0000 0.0000 0.5359
0.5000 0.5000 0.5359
```


Record 5
VASP calculation (PBE) on a relaxed structure of Zr4AlMo.

Results
VASP energy = -7.66 eV/atom
DOS(E_F) = 8.4 states/eV/cell

Geometry as POSCAR:
```
Zr4AlMo
1.0
0.0000 3.9816 3.9816
3.9816 0.0000 3.9816
3.9816 3.9816 0.0000
Zr Al Mo
4 1 1
Direct
0.3767 0.3767 0.3767
0.3767 0.3767 0.8698
0.3767 0.8698 0.3767
0.8698 0.3767 0.3767
0.0000 0.0000 0.0000
0.7500 0.7500 0.7500
```


Record 6
VASP calculation (PBE) on a relaxed structure of Zr2AlMo.

Results
VASP energy = -8.01 eV/atom
DOS(E_F) = 11.6 states/eV/cell

Geometry as POSCAR:
```
Zr2AlMo
1.0
4.0817 0.0000 0.0000
0.0000 4.0817 0.0000
0.0000 0.0000 9.2267
Zr Al Mo
4 2 2
Direct
0.0000 0.0000 0.0000
0.0000 0.5000 0.2500
0.5000 0.0000 0.7500
0.5000 0.5000 0.5000
0.0000 0.5000 0.7500
0.5000 0.0000 0.2500
0.0000 0.0000 0.5000
0.5000 0.5000 0.0000
```